No. 1
First-principles (PBE) data for a relaxed structure of Pr4IrPb, as listed in Alexandria.

Calculated values
Energy above the lowest structure with this stoichiometry ... 24 meV per atom
SG ... No. 15
Density ... 8.55 Mg/m³

Structure (CIF):
```
data_Pr4IrPb
_cell_length_a 8.472
_cell_length_b 8.472
_cell_length_c 6.242
_cell_angle_alpha 102.34
_cell_angle_beta 102.34
_cell_angle_gamma 114.54
_symmetry_space_group_name_H-M 'P 1'
_symmetry_Int_Tables_number 1
loop_
_symmetry_equiv_pos_as_xyz
'x,y,z'
loop_
_atom_site_label
_atom_site_fract_x
_atom_site_fract_y
_atom_site_fract_z
_atom_site_occupancy
Pr1 0.065 0.709 0.930 1
Pr2 0.207 0.348 0.655 1
Pr3 0.291 0.935 0.570 1
Pr4 0.348 0.207 0.155 1
Pr5 0.652 0.793 0.845 1
Pr6 0.709 0.065 0.430 1
Pr7 0.793 0.652 0.345 1
Pr8 0.935 0.291 0.070 1
Ir1 0.001 0.999 0.250 1
Ir2 0.999 0.001 0.750 1
Pb1 0.375 0.625 0.250 1
Pb2 0.625 0.375 0.750 1
```

No. 2
First-principles (PBE) data for a relaxed structure of TbPr3Ag3, as listed in Alexandria.

Calculated values
E ... -56.6 eV for the cell shown
SG ... No. 12
Density ... 7.42 Mg/m³

Structure (CIF):
```
data_TbPr3Ag3
_cell_length_a 7.503
_cell_length_b 7.503
_cell_length_c 7.221
_cell_angle_alpha 90.69
_cell_angle_beta 90.69
_cell_angle_gamma 94.11
_symmetry_space_group_name_H-M 'P 1'
_symmetry_Int_Tables_number 1
loop_
_symmetry_equiv_pos_as_xyz
'x,y,z'
loop_
_atom_site_label
_atom_site_fract_x
_atom_site_fract_y
_atom_site_fract_z
_atom_site_occupancy
Tb1 0.249 0.249 0.366 1
Tb2 0.751 0.751 0.634 1
Pr1 0.142 0.142 0.876 1
Pr2 0.227 0.773 0.500 1
Pr3 0.323 0.677 0.000 1
Pr4 0.677 0.323 0.000 1
Pr5 0.773 0.227 0.500 1
Pr6 0.858 0.858 0.124 1
Ag1 0.012 0.508 0.770 1
Ag2 0.433 0.433 0.677 1
Ag3 0.492 0.988 0.230 1
Ag4 0.508 0.012 0.770 1
Ag5 0.567 0.567 0.323 1
Ag6 0.988 0.492 0.230 1
```

Question: The highest density belongs to which entry?
Answer: Pr4IrPb

Question: What is the density in the second record?
Answer: 7.42 Mg/m³

What did the first record say?
First-principles (PBE) data for a relaxed structure of Pr4IrPb, as listed in Alexandria.

Calculated values
Energy above the lowest structure with this stoichiometry ... 24 meV per atom
SG ... No. 15
Density ... 8.55 Mg/m³

Structure (CIF):
```
data_Pr4IrPb
_cell_length_a 8.472
_cell_length_b 8.472
_cell_length_c 6.242
_cell_angle_alpha 102.34
_cell_angle_beta 102.34
_cell_angle_gamma 114.54
_symmetry_space_group_name_H-M 'P 1'
_symmetry_Int_Tables_number 1
loop_
_symmetry_equiv_pos_as_xyz
'x,y,z'
loop_
_atom_site_label
_atom_site_fract_x
_atom_site_fract_y
_atom_site_fract_z
_atom_site_occupancy
Pr1 0.065 0.709 0.930 1
Pr2 0.207 0.348 0.655 1
Pr3 0.291 0.935 0.570 1
Pr4 0.348 0.207 0.155 1
Pr5 0.652 0.793 0.845 1
Pr6 0.709 0.065 0.430 1
Pr7 0.793 0.652 0.345 1
Pr8 0.935 0.291 0.070 1
Ir1 0.001 0.999 0.250 1
Ir2 0.999 0.001 0.750 1
Pb1 0.375 0.625 0.250 1
Pb2 0.625 0.375 0.750 1
```